[1]
! PBE NaTbGaPb, optimized geometry; values from VASP
&SYSTEM
  ibrav = 0, nat = 4, ntyp = 4
/
ATOMIC_SPECIES
Pb 207.20 Pb.upf
Na 22.99 Na.upf
Tb 158.93 Tb.upf
Ga 69.72 Ga.upf
ATOMIC_POSITIONS crystal
Pb 0.000 0.000 0.000
Na 0.750 0.750 0.750
Tb 0.250 0.250 0.250
Ga 0.500 0.500 0.500
CELL_PARAMETERS angstrom
-2.371 2.053 4.221
-5.104 1.249 -0.200
-3.511 -2.846 2.688
! E_form	-245	meV per atom
! space-group type	No. 216

***

[2]
! PBE Na2GaTe4Pb, optimized geometry; values from VASP
&SYSTEM
  ibrav = 0, nat = 8, ntyp = 4
/
ATOMIC_SPECIES
Te 127.60 Te.upf
Pb 207.20 Pb.upf
Na 22.99 Na.upf
Ga 69.72 Ga.upf
ATOMIC_POSITIONS crystal
Te 0.518 0.000 0.381
Te 0.102 0.381 0.000
Te 0.482 0.619 0.000
Te 0.898 0.000 0.619
Pb 0.000 0.000 0.000
Na 0.500 0.500 0.500
Na 0.000 0.500 0.500
Ga 0.500 0.000 0.000
CELL_PARAMETERS angstrom
-0.566 -4.439 5.727
-2.801 -6.265 -0.520
4.972 -4.467 1.641
! space-group type	No. 121
! uncorrected formation energy	-0.5075	eV per atom

***

| no. | M_tot (μB/f.u.) | N(E_F) (states/eV per cell) |
| --- | --- | --- |
| 1 | 0.00 | 2.00 |
| 2 | 0.00 | 2.56 |